Compound: PrSnRh2
Source: the Alexandria database
Functional: GGA-PBE
Structure: relaxed

Computed properties:
E_tot, eV per atom: -6.45

The structure in CIF format:
```
data_PrSnRh2
_space_group_name_H-M_alt 'P 4/m m m'
_space_group_IT_number 123
_space_group_name_Hall '-P 4 2'
_cell_length_a 4.655
_cell_length_b 4.655
_cell_length_c 3.653
_cell_angle_alpha 90.00
_cell_angle_beta 90.00
_cell_angle_gamma 90.00
loop_
_atom_site_label
_atom_site_type_symbol
_atom_site_fract_x
_atom_site_fract_y
_atom_site_fract_z
Pr1 Pr 0.000 0.000 0.000
Sn1 Sn 0.500 0.500 0.000
Rh1 Rh 0.000 0.500 0.500
```